1.
A relaxed DyPu2TcC4 crystal. Source: Alexandria, functional PBE.

abc: 6.024 6.024 12.240
angles: 90.00 90.00 146.37
Element x y z (fractional)
Dy1 0.109 0.891 0.750
Dy2 0.891 0.109 0.250
Pu1 0.369 0.631 0.538
Pu2 0.369 0.631 0.962
Pu3 0.631 0.369 0.038
Pu4 0.631 0.369 0.462
Tc1 0.156 0.844 0.250
Tc2 0.844 0.156 0.750
C1 0.000 0.000 0.000
C2 0.000 0.000 0.500
C3 0.260 0.740 0.128
C4 0.260 0.740 0.372
C5 0.438 0.562 0.750
C6 0.562 0.438 0.250
C7 0.740 0.260 0.628
C8 0.740 0.260 0.872

Values from the calculation:
The density of states at the Fermi level is 13.22 states/eV/f.u. Its total magnetization is 1.1363 μB/atom. The energy comes out at -9.99 eV per atom.

=====

2.
A relaxed Dy2PuTc2C4 crystal. Source: Alexandria, functional PBE.

abc: 6.813 6.813 6.082
angles: 109.24 109.24 29.23
Element x y z (fractional)
Dy1 0.135 0.135 0.032
Dy2 0.865 0.865 0.968
Pu1 0.000 0.000 0.500
Tc1 0.323 0.323 0.507
Tc2 0.677 0.677 0.493
C1 0.228 0.228 0.727
C2 0.471 0.471 0.758
C3 0.529 0.529 0.242
C4 0.772 0.772 0.273

Values from the calculation:
The density of states at the Fermi level is 9.31 states/eV/f.u. Its total magnetization is 0.4840 μB/atom. The energy comes out at -9.01 eV per atom.

=====

3.
A relaxed Dy2PuTlC crystal. Source: Alexandria, functional PBE.

abc: 4.979 4.979 4.727
angles: 90.00 90.00 90.00
Element x y z (fractional)
Dy1 0.000 0.500 0.000
Dy2 0.500 0.000 0.000
Pu1 0.000 0.000 0.500
Tl1 0.500 0.500 0.500
C1 0.000 0.000 0.000

Values from the calculation:
The density of states at the Fermi level is 9.43 states/eV/f.u. Its total magnetization is 1.0376 μB/atom. The energy comes out at -7.30 eV per atom.

=====

4.
A relaxed Dy3ReC3 crystal. Source: Alexandria, functional PBE.

abc: 6.806 6.806 5.152
angles: 90.00 90.00 100.42
Element x y z (fractional)
Dy1 0.109 0.891 0.750
Dy2 0.169 0.406 0.750
Dy3 0.406 0.169 0.250
Dy4 0.594 0.831 0.750
Dy5 0.831 0.594 0.250
Dy6 0.891 0.109 0.250
Re1 0.309 0.691 0.250
Re2 0.691 0.309 0.750
C1 0.123 0.877 0.250
C2 0.171 0.415 0.250
C3 0.415 0.171 0.750
C4 0.585 0.829 0.250
C5 0.829 0.585 0.750
C6 0.877 0.123 0.750

Values from the calculation:
The density of states at the Fermi level is 3.30 states/eV/f.u. Its total magnetization is 0.0298 μB/atom. The energy comes out at -8.09 eV per atom.

=====

5.
A relaxed Dy3Re2C4 crystal. Source: Alexandria, functional PBE.

abc: 5.647 5.647 7.432
angles: 97.91 97.91 33.28
Element x y z (fractional)
Dy1 0.000 0.000 0.000
Dy2 0.384 0.384 0.598
Dy3 0.616 0.616 0.402
Re1 0.295 0.295 0.171
Re2 0.705 0.705 0.829
C1 0.138 0.138 0.654
C2 0.341 0.341 0.909
C3 0.659 0.659 0.091
C4 0.862 0.862 0.346

Values from the calculation:
The density of states at the Fermi level is 3.78 states/eV/f.u. Its total magnetization is 0.0000 μB/atom. The energy comes out at -8.45 eV per atom.

=====

6.
A relaxed Dy2ReC2 crystal. Source: Alexandria, functional PBE.

abc: 6.581 5.127 9.861
angles: 90.00 90.00 90.00
Element x y z (fractional)
Dy1 0.032 0.250 0.216
Dy2 0.180 0.250 0.555
Dy3 0.320 0.750 0.055
Dy4 0.468 0.750 0.716
Dy5 0.532 0.250 0.284
Dy6 0.680 0.250 0.945
Dy7 0.820 0.750 0.445
Dy8 0.968 0.750 0.784
Re1 0.221 0.250 0.866
Re2 0.279 0.750 0.366
Re3 0.721 0.250 0.634
Re4 0.779 0.750 0.134
C1 0.046 0.750 0.241
C2 0.178 0.750 0.549
C3 0.322 0.250 0.049
C4 0.454 0.250 0.741
C5 0.546 0.750 0.259
C6 0.678 0.750 0.951
C7 0.822 0.250 0.451
C8 0.954 0.250 0.759

Values from the calculation:
For the polymorph energy (0 for the lowest one), the calculation gives 0 meV/atom. The density of states at the Fermi level is 2.23 states/eV/f.u. Its total magnetization is 0.0000 μB/atom.

=====

7.
A relaxed DyRe2C2 crystal. Source: Alexandria, functional PBE.

abc: 5.580 5.580 5.518
angles: 109.72 109.72 103.48
Element x y z (fractional)
Dy1 0.127 0.873 0.750
Dy2 0.873 0.127 0.250
Re1 0.229 0.460 0.965
Re2 0.460 0.229 0.465
Re3 0.540 0.771 0.535
Re4 0.771 0.540 0.035
C1 0.186 0.814 0.250
C2 0.424 0.576 0.750
C3 0.576 0.424 0.250
C4 0.814 0.186 0.750

Values from the calculation:
The density of states at the Fermi level is 1.31 states/eV/f.u. Its total magnetization is 0.0000 μB/atom. The energy comes out at -9.62 eV per atom.

=====

8.
A relaxed Dy12Re5C15 crystal. Source: Alexandria, functional PBE.

abc: 10.741 10.741 5.103
angles: 90.00 90.00 120.00
Element x y z (fractional)
Dy1 0.000 0.428 0.000
Dy2 0.000 0.794 0.000
Dy3 0.186 0.730 0.500
Dy4 0.206 0.206 0.000
Dy5 0.270 0.456 0.500
Dy6 0.428 0.000 0.000
Dy7 0.456 0.270 0.500
Dy8 0.544 0.814 0.500
Dy9 0.572 0.572 0.000
Dy10 0.730 0.186 0.500
Dy11 0.794 0.000 0.000
Dy12 0.814 0.544 0.500
Re1 0.000 0.153 0.500
Re2 0.153 0.000 0.500
Re3 0.333 0.667 0.000
Re4 0.667 0.333 0.000
Re5 0.847 0.847 0.500
C1 0.000 0.333 0.500
C2 0.000 0.460 0.500
C3 0.000 0.785 0.500
C4 0.188 0.719 0.000
C5 0.215 0.215 0.500
C6 0.281 0.468 0.000
C7 0.333 0.000 0.500
C8 0.460 0.000 0.500
C9 0.468 0.281 0.000
C10 0.532 0.812 0.000
C11 0.540 0.540 0.500
C12 0.667 0.667 0.500
C13 0.719 0.188 0.000
C14 0.785 0.000 0.500
C15 0.812 0.532 0.000

Values from the calculation:
The density of states at the Fermi level is 8.73 states/eV/f.u. Its total magnetization is 0.0000 μB/atom. The energy comes out at -8.36 eV per atom.

=====

9.
A relaxed Dy2ReC2 crystal. Source: Alexandria, functional PBE.

abc: 6.139 6.139 6.648
angles: 115.77 115.77 49.35
Element x y z (fractional)
Dy1 0.031 0.031 0.277
Dy2 0.321 0.321 0.875
Dy3 0.679 0.679 0.125
Dy4 0.969 0.969 0.723
Re1 0.362 0.362 0.371
Re2 0.638 0.638 0.629
C1 0.180 0.180 0.110
C2 0.493 0.493 0.725
C3 0.507 0.507 0.275
C4 0.820 0.820 0.890

Values from the calculation:
For the polymorph energy (0 for the lowest one), the calculation gives 81 meV/atom. The density of states at the Fermi level is 1.71 states/eV/f.u. Its total magnetization is 0.0000 μB/atom.

=====

10.
A relaxed Dy2Re2C3 crystal. Source: Alexandria, functional PBE.

abc: 6.128 6.128 5.685
angles: 113.11 113.11 31.09
Element x y z (fractional)
Dy1 0.109 0.109 0.316
Dy2 0.891 0.891 0.684
Re1 0.344 0.344 0.179
Re2 0.656 0.656 0.821
C1 0.252 0.252 0.768
C2 0.500 0.500 0.500
C3 0.748 0.748 0.232

Values from the calculation:
For the polymorph energy (0 for the lowest one), the calculation gives 0 meV/atom. The density of states at the Fermi level is 2.49 states/eV/f.u. Its total magnetization is 0.0000 μB/atom.

=====

11.
A relaxed DyRe4C2 crystal. Source: Alexandria, functional PBE.

abc: 7.105 7.105 3.945
angles: 90.00 90.00 147.66
Element x y z (fractional)
Dy1 0.000 0.000 0.000
Re1 0.176 0.824 0.500
Re2 0.316 0.684 0.000
Re3 0.684 0.316 0.000
Re4 0.824 0.176 0.500
C1 0.371 0.629 0.500
C2 0.629 0.371 0.500

Values from the calculation:
The density of states at the Fermi level is 2.75 states/eV/f.u. Its total magnetization is 0.0000 μB/atom. The energy comes out at -10.26 eV per atom.

=====

12.
A relaxed DyU2ReC4 crystal. Source: Alexandria, functional PBE.

abc: 6.055 6.055 11.615
angles: 90.00 90.00 145.94
Element x y z (fractional)
Dy1 0.121 0.879 0.750
Dy2 0.879 0.121 0.250
U1 0.371 0.629 0.544
U2 0.371 0.629 0.956
U3 0.629 0.371 0.044
U4 0.629 0.371 0.456
Re1 0.142 0.858 0.250
Re2 0.858 0.142 0.750
C1 0.000 0.000 0.000
C2 0.000 0.000 0.500
C3 0.260 0.740 0.122
C4 0.260 0.740 0.378
C5 0.448 0.552 0.750
C6 0.552 0.448 0.250
C7 0.740 0.260 0.622
C8 0.740 0.260 0.878

Values from the calculation:
The density of states at the Fermi level is 8.26 states/eV/f.u. Its total magnetization is 0.0599 μB/atom. The energy comes out at -9.60 eV per atom.